A plane-wave DFT calculation with GGA-PBE was carried out for crystalline Ba12Ir2Au5 at its relaxed geometry.

## Properties
Density of states at the Fermi level ... 22.32 states/eV/cell
Calculated formation energy ... -0.44 eV/atom

Cell: 18.693 8.785 10.509 Å, 90.00 106.25 90.00°
Space group C2/m (No. 12)
Inequivalent atoms, fractional coordinates:
Ba: 0.001 0.000 0.285 (multiplicity 4)
Ba: 0.007 0.500 0.311 (multiplicity 4)
Ba: 0.150 0.253 0.067 (multiplicity 8)
Ba: 0.168 0.236 0.593 (multiplicity 8)
Ir: 0.000 0.237 0.500 (multiplicity 4)
Au: 0.000 0.500 0.000 (multiplicity 2)
Au: 0.190 0.000 0.334 (multiplicity 4)
Au: 0.200 0.000 0.862 (multiplicity 4)